No. 1
The following is a DFT calculation (PBE) of a relaxed LuGaCoNi crystal.

Properties
As for the total magnetization: 0.362 μB per atom. The value obtained for the energy is -5.201 eV per atom. Its crystal system is cubic. The value obtained for the relative energy among the computed polymorphs is 0.244 eV/atom.

Cell: 6.257 6.257 6.257 Å, 90.00 90.00 90.00°
Space group F-43m (No. 216)
Symmetry-distinct sites (fractional):
Lu  0.000  0.000  0.000
Ga  0.250  0.250  0.250
Co  0.000  0.000  0.500
Ni  0.250  0.250  0.750

No. 2
The following is a DFT calculation (PBE) of a relaxed LuGaCoOs crystal.

Properties
As for the total magnetization: 0.003 μB per atom. The value obtained for the energy is -6.589 eV per atom. Its crystal system is cubic. The value obtained for the relative energy among the computed polymorphs is 0.000 eV/atom.

Cell: 6.287 6.287 6.287 Å, 90.00 90.00 90.00°
Space group F-43m (No. 216)
Symmetry-distinct sites (fractional):
Lu  0.000  0.000  0.000
Ga  0.000  0.000  0.500
Co  0.250  0.250  0.750
Os  0.250  0.250  0.250

No. 3
The following is a DFT calculation (PBE) of a relaxed LuGaCoOs crystal.

Properties
As for the total magnetization: 0.700 μB per atom. The value obtained for the energy is -6.317 eV per atom. Its crystal system is cubic. The value obtained for the relative energy among the computed polymorphs is 0.272 eV/atom.

Cell: 6.390 6.390 6.390 Å, 90.00 90.00 90.00°
Space group F-43m (No. 216)
Symmetry-distinct sites (fractional):
Lu  0.000  0.000  0.000
Ga  0.250  0.250  0.250
Co  0.000  0.000  0.500
Os  0.250  0.250  0.750

No. 4
The following is a DFT calculation (PBE) of a relaxed LuGaCoPt crystal.

Properties
As for the total magnetization: 0.256 μB per atom. The value obtained for the energy is -5.807 eV per atom. Its crystal system is cubic. The value obtained for the relative energy among the computed polymorphs is 0.000 eV/atom.

Cell: 6.374 6.374 6.374 Å, 90.00 90.00 90.00°
Space group F-43m (No. 216)
Symmetry-distinct sites (fractional):
Lu  0.000  0.000  0.000
Ga  0.000  0.000  0.500
Co  0.250  0.250  0.750
Pt  0.250  0.250  0.250

No. 5
The following is a DFT calculation (PBE) of a relaxed LuGaCoPt crystal.

Properties
As for the total magnetization: 0.378 μB per atom. The value obtained for the energy is -5.567 eV per atom. Its crystal system is cubic. The value obtained for the relative energy among the computed polymorphs is 0.240 eV/atom.

Cell: 6.460 6.460 6.460 Å, 90.00 90.00 90.00°
Space group F-43m (No. 216)
Symmetry-distinct sites (fractional):
Lu  0.000  0.000  0.000
Ga  0.250  0.250  0.250
Co  0.000  0.000  0.500
Pt  0.250  0.250  0.750

No. 6
The following is a DFT calculation (PBE) of a relaxed LuGaCoRe crystal.

Properties
As for the total magnetization: 0.719 μB per atom. The value obtained for the energy is -6.465 eV per atom. Its crystal system is cubic. The value obtained for the relative energy among the computed polymorphs is 0.141 eV/atom.

Cell: 6.405 6.405 6.405 Å, 90.00 90.00 90.00°
Space group F-43m (No. 216)
Symmetry-distinct sites (fractional):
Lu  0.000  0.000  0.000
Ga  0.250  0.250  0.250
Co  0.000  0.000  0.500
Re  0.250  0.250  0.750

No. 7
The following is a DFT calculation (PBE) of a relaxed LuGaCoRe crystal.

Properties
As for the total magnetization: 0.001 μB per atom. The value obtained for the energy is -6.607 eV per atom. Its crystal system is cubic. The value obtained for the relative energy among the computed polymorphs is 0.000 eV/atom.

Cell: 6.307 6.307 6.307 Å, 90.00 90.00 90.00°
Space group F-43m (No. 216)
Symmetry-distinct sites (fractional):
Lu  0.000  0.000  0.000
Ga  0.000  0.000  0.500
Co  0.250  0.250  0.750
Re  0.250  0.250  0.250

No. 8
The following is a DFT calculation (PBE) of a relaxed LuScGaCo crystal.

Properties
As for the total magnetization: 0.000 μB per atom. The value obtained for the energy is -5.496 eV per atom. Its crystal system is cubic. The value obtained for the relative energy among the computed polymorphs is 0.000 eV/atom.

Cell: 6.472 6.472 6.472 Å, 90.00 90.00 90.00°
Space group F-43m (No. 216)
Symmetry-distinct sites (fractional):
Lu  0.000  0.000  0.000
Sc  0.250  0.250  0.250
Ga  0.000  0.000  0.500
Co  0.250  0.250  0.750